1.
A plane-wave DFT calculation with PBE was carried out for crystalline CuSi2Mo at its relaxed geometry.

Cell and atoms, written as CIF:
```
data_CuSi2Mo
_chemical_formula_sum 'Cu1 Si2 Mo1'
_symmetry_space_group_name_H-M 'P 4/m m m'
_symmetry_Int_Tables_number 123
_symmetry_space_group_name_Hall '-P 4 2'
_cell_length_a 2.6691
_cell_length_b 2.6691
_cell_length_c 7.7770
_cell_angle_alpha 90.00
_cell_angle_beta 90.00
_cell_angle_gamma 90.00
loop_
_atom_site_label
_atom_site_type_symbol
_atom_site_fract_x
_atom_site_fract_y
_atom_site_fract_z
Cu1 Cu 0.0000 0.0000 0.0000
Si1 Si 0.5000 0.5000 0.2459
Mo1 Mo 0.0000 0.0000 0.5000
```

## Properties
DFT total energy = -6.254 eV per atom
Crystal system = tetragonal

***

2.
A plane-wave DFT calculation with PBE was carried out for crystalline CuSi2Mo at its relaxed geometry.

Cell and atoms, written as CIF:
```
data_CuSi2Mo
_chemical_formula_sum 'Cu2 Si4 Mo2'
_symmetry_space_group_name_H-M 'I m m m'
_symmetry_Int_Tables_number 71
_symmetry_space_group_name_Hall '-I 2 2'
_cell_length_a 3.4750
_cell_length_b 4.0291
_cell_length_c 7.6310
_cell_angle_alpha 90.00
_cell_angle_beta 90.00
_cell_angle_gamma 90.00
loop_
_atom_site_label
_atom_site_type_symbol
_atom_site_fract_x
_atom_site_fract_y
_atom_site_fract_z
Cu1 Cu 0.0000 0.0000 0.0000
Si1 Si 0.0000 0.5000 0.2564
Mo1 Mo 0.0000 0.0000 0.5000
```

## Properties
DFT total energy = -6.509 eV per atom
Crystal system = orthorhombic

***

3.
A plane-wave DFT calculation with PBE was carried out for crystalline CuSi2Mo at its relaxed geometry.

Cell and atoms, written as CIF:
```
data_CuSi2Mo
_chemical_formula_sum 'Cu4 Si8 Mo4'
_symmetry_space_group_name_H-M 'F -4 3 m'
_symmetry_Int_Tables_number 216
_symmetry_space_group_name_Hall 'F -4 2 3'
_cell_length_a 6.0595
_cell_length_b 6.0595
_cell_length_c 6.0595
_cell_angle_alpha 90.00
_cell_angle_beta 90.00
_cell_angle_gamma 90.00
loop_
_atom_site_label
_atom_site_type_symbol
_atom_site_fract_x
_atom_site_fract_y
_atom_site_fract_z
Cu1 Cu 0.0000 0.0000 0.0000
Si1 Si 0.0000 0.0000 0.5000
Si2 Si 0.2500 0.2500 0.7500
Mo1 Mo 0.2500 0.2500 0.2500
```

## Properties
DFT total energy = -6.034 eV per atom
Crystal system = cubic

***

4.
A plane-wave DFT calculation with PBE was carried out for crystalline CuSi2Mo at its relaxed geometry.

Cell and atoms, written as CIF:
```
data_CuSi2Mo
_chemical_formula_sum 'Cu1 Si2 Mo1'
_symmetry_space_group_name_H-M 'P 1 m 1'
_symmetry_Int_Tables_number 6
_cell_length_a 2.6631
_cell_length_b 4.3659
_cell_length_c 4.7036
_cell_angle_alpha 90.00
_cell_angle_beta 92.37
_cell_angle_gamma 90.00
loop_
_symmetry_equiv_pos_as_xyz
'x,y,z'
'x,-y,z'
loop_
_atom_site_label
_atom_site_type_symbol
_atom_site_fract_x
_atom_site_fract_y
_atom_site_fract_z
Cu1 Cu 0.0000 0.0000 0.0000
Si1 Si 0.0318 0.5000 0.2206
Si2 Si 0.0483 0.0000 0.5098
Mo1 Mo 0.4840 0.5000 0.7268
```

## Properties
DFT total energy = -6.510 eV per atom
Crystal system = monoclinic

***

5.
A plane-wave DFT calculation with PBE was carried out for crystalline CuSi2Mo at its relaxed geometry.

Cell and atoms, written as CIF:
```
data_CuSi2Mo
_chemical_formula_sum 'Cu3 Si6 Mo3'
_symmetry_space_group_name_H-M 'R 3 m'
_symmetry_Int_Tables_number 160
_symmetry_space_group_name_Hall 'R 3 -2"'
_cell_length_a 2.8861
_cell_length_b 2.8861
_cell_length_c 23.5839
_cell_angle_alpha 90.00
_cell_angle_beta 90.00
_cell_angle_gamma 120.00
loop_
_atom_site_label
_atom_site_type_symbol
_atom_site_fract_x
_atom_site_fract_y
_atom_site_fract_z
Cu1 Cu 0.0000 0.0000 0.0000
Si1 Si 0.0000 0.0000 0.4902
Si2 Si 0.0000 0.0000 0.7422
Mo1 Mo 0.0000 0.0000 0.2415
```

## Properties
DFT total energy = -6.216 eV per atom
Crystal system = trigonal

***

6.
A plane-wave DFT calculation with PBE was carried out for crystalline CuSi2Mo at its relaxed geometry.

Cell and atoms, written as CIF:
```
data_CuSi2Mo
_chemical_formula_sum 'Cu3 Si6 Mo3'
_symmetry_space_group_name_H-M 'R -3 m'
_symmetry_Int_Tables_number 166
_symmetry_space_group_name_Hall '-R 3 2"'
_cell_length_a 2.8244
_cell_length_b 2.8244
_cell_length_c 24.1773
_cell_angle_alpha 90.00
_cell_angle_beta 90.00
_cell_angle_gamma 120.00
loop_
_atom_site_label
_atom_site_type_symbol
_atom_site_fract_x
_atom_site_fract_y
_atom_site_fract_z
Cu1 Cu 0.0000 0.0000 0.0000
Si1 Si 0.0000 0.0000 0.2529
Mo1 Mo 0.0000 0.0000 0.5000
```

## Properties
DFT total energy = -6.408 eV per atom
Crystal system = trigonal

***

7.
A plane-wave DFT calculation with PBE was carried out for crystalline CuSi2Mo at its relaxed geometry.

Cell and atoms, written as CIF:
```
data_CuSi2Mo
_chemical_formula_sum 'Cu1 Si2 Mo1'
_symmetry_space_group_name_H-M 'P m m m'
_symmetry_Int_Tables_number 47
_cell_length_a 3.2361
_cell_length_b 3.9761
_cell_length_c 4.1496
_cell_angle_alpha 90.00
_cell_angle_beta 90.00
_cell_angle_gamma 90.00
loop_
_symmetry_equiv_pos_as_xyz
'x,y,z'
'-x,-y,-z'
'-x,-y,z'
'x,y,-z'
'x,-y,-z'
'-x,y,z'
'-x,y,-z'
'x,-y,z'
loop_
_atom_site_label
_atom_site_type_symbol
_atom_site_fract_x
_atom_site_fract_y
_atom_site_fract_z
Cu1 Cu 0.0000 0.0000 0.0000
Si1 Si 0.5000 0.0000 0.5000
Si2 Si 0.5000 0.5000 0.0000
Mo1 Mo 0.0000 0.5000 0.5000
```

## Properties
DFT total energy = -6.462 eV per atom
Crystal system = orthorhombic

***

8.
A plane-wave DFT calculation with PBE was carried out for crystalline CuSi3Mo at its relaxed geometry.

Cell and atoms, written as CIF:
```
data_CuSi3Mo
_chemical_formula_sum 'Cu1 Si3 Mo1'
_symmetry_space_group_name_H-M 'P m -3 m'
_symmetry_Int_Tables_number 221
_symmetry_space_group_name_Hall '-P 4 2 3'
_cell_length_a 4.4358
_cell_length_b 4.4358
_cell_length_c 4.4358
_cell_angle_alpha 90.00
_cell_angle_beta 90.00
_cell_angle_gamma 90.00
loop_
_atom_site_label
_atom_site_type_symbol
_atom_site_fract_x
_atom_site_fract_y
_atom_site_fract_z
Cu1 Cu 0.0000 0.0000 0.0000
Si1 Si 0.0000 0.0000 0.5000
Mo1 Mo 0.5000 0.5000 0.5000
```

## Properties
DFT total energy = -5.109 eV per atom
Energy relative to the lowest polymorph listed for this composition = 367.5 meV/atom
Crystal system = cubic

***

9.
A plane-wave DFT calculation with PBE was carried out for crystalline CuSiMo3 at its relaxed geometry.

Cell and atoms, written as CIF:
```
data_CuSiMo3
_chemical_formula_sum 'Cu1 Si1 Mo3'
_symmetry_space_group_name_H-M 'P m -3 m'
_symmetry_Int_Tables_number 221
_symmetry_space_group_name_Hall '-P 4 2 3'
_cell_length_a 4.4798
_cell_length_b 4.4798
_cell_length_c 4.4798
_cell_angle_alpha 90.00
_cell_angle_beta 90.00
_cell_angle_gamma 90.00
loop_
_atom_site_label
_atom_site_type_symbol
_atom_site_fract_x
_atom_site_fract_y
_atom_site_fract_z
Cu1 Cu 0.0000 0.0000 0.0000
Si1 Si 0.5000 0.5000 0.5000
Mo1 Mo 0.0000 0.5000 0.5000
```

## Properties
DFT total energy = -7.183 eV per atom
Energy relative to the lowest polymorph listed for this composition = 0.0 meV/atom
Crystal system = cubic

***

10.
A plane-wave DFT calculation with PBE was carried out for crystalline CuSi2Mo at its relaxed geometry.

Cell and atoms, written as CIF:
```
data_CuSi2Mo
_chemical_formula_sum 'Cu4 Si8 Mo4'
_symmetry_space_group_name_H-M 'F m -3 m'
_symmetry_Int_Tables_number 225
_symmetry_space_group_name_Hall '-F 4 2 3'
_cell_length_a 6.0267
_cell_length_b 6.0267
_cell_length_c 6.0267
_cell_angle_alpha 90.00
_cell_angle_beta 90.00
_cell_angle_gamma 90.00
loop_
_atom_site_label
_atom_site_type_symbol
_atom_site_fract_x
_atom_site_fract_y
_atom_site_fract_z
Cu1 Cu 0.0000 0.0000 0.0000
Si1 Si 0.2500 0.2500 0.2500
Mo1 Mo 0.0000 0.0000 0.5000
```

## Properties
DFT total energy = -6.248 eV per atom
Crystal system = cubic

***

11.
A plane-wave DFT calculation with PBE was carried out for crystalline CuSi2Mo at its relaxed geometry.

Cell and atoms, written as CIF:
```
data_CuSi2Mo
_chemical_formula_sum 'Cu2 Si4 Mo2'
_symmetry_space_group_name_H-M 'C 1 2/m 1'
_symmetry_Int_Tables_number 12
_cell_length_a 8.4637
_cell_length_b 2.7315
_cell_length_c 4.8502
_cell_angle_alpha 90.00
_cell_angle_beta 100.87
_cell_angle_gamma 90.00
loop_
_symmetry_equiv_pos_as_xyz
'x,y,z'
'-x,-y,-z'
'-x,y,-z'
'x,-y,z'
'x+1/2,y+1/2,z'
'-x+1/2,-y+1/2,-z'
'-x+1/2,y+1/2,-z'
'x+1/2,-y+1/2,z'
loop_
_atom_site_label
_atom_site_type_symbol
_atom_site_fract_x
_atom_site_fract_y
_atom_site_fract_z
Cu1 Cu 0.0000 0.0000 0.0000
Si1 Si 0.2497 0.0000 0.7443
Mo1 Mo 0.0000 0.5000 0.5000
```

## Properties
DFT total energy = -6.383 eV per atom
Crystal system = monoclinic

***

12.
A plane-wave DFT calculation with PBE was carried out for crystalline CuSiMo at its relaxed geometry.

Cell and atoms, written as CIF:
```
data_CuSiMo
_chemical_formula_sum 'Cu2 Si2 Mo2'
_symmetry_space_group_name_H-M 'I m m 2'
_symmetry_Int_Tables_number 44
_cell_length_a 2.7155
_cell_length_b 3.3576
_cell_length_c 8.9108
_cell_angle_alpha 90.00
_cell_angle_beta 90.00
_cell_angle_gamma 90.00
loop_
_symmetry_equiv_pos_as_xyz
'x,y,z'
'-x,-y,z'
'-x,y,z'
'x,-y,z'
'x+1/2,y+1/2,z+1/2'
'-x+1/2,-y+1/2,z+1/2'
'-x+1/2,y+1/2,z+1/2'
'x+1/2,-y+1/2,z+1/2'
loop_
_atom_site_label
_atom_site_type_symbol
_atom_site_fract_x
_atom_site_fract_y
_atom_site_fract_z
Cu1 Cu 0.0000 0.0000 0.0000
Si1 Si 0.0000 0.0000 0.3600
Mo1 Mo 0.0000 0.0000 0.6864
```

## Properties
DFT total energy = -6.697 eV per atom
Energy relative to the lowest polymorph listed for this composition = 153.5 meV/atom
Crystal system = orthorhombic

***

13.
A plane-wave DFT calculation with PBE was carried out for crystalline CuSiMo at its relaxed geometry.

Cell and atoms, written as CIF:
```
data_CuSiMo
_chemical_formula_sum 'Cu4 Si4 Mo4'
_symmetry_space_group_name_H-M 'F -4 3 m'
_symmetry_Int_Tables_number 216
_symmetry_space_group_name_Hall 'F -4 2 3'
_cell_length_a 5.8511
_cell_length_b 5.8511
_cell_length_c 5.8511
_cell_angle_alpha 90.00
_cell_angle_beta 90.00
_cell_angle_gamma 90.00
loop_
_atom_site_label
_atom_site_type_symbol
_atom_site_fract_x
_atom_site_fract_y
_atom_site_fract_z
Cu1 Cu 0.0000 0.0000 0.0000
Si1 Si 0.0000 0.0000 0.5000
Mo1 Mo 0.2500 0.2500 0.2500
```

## Properties
DFT total energy = -6.254 eV per atom
Energy relative to the lowest polymorph listed for this composition = 596.5 meV/atom
Crystal system = cubic

***

14.
A plane-wave DFT calculation with PBE was carried out for crystalline Cu4SiMo at its relaxed geometry.

Cell and atoms, written as CIF:
```
data_Cu4SiMo
_chemical_formula_sum 'Cu16 Si4 Mo4'
_symmetry_space_group_name_H-M 'F -4 3 m'
_symmetry_Int_Tables_number 216
_symmetry_space_group_name_Hall 'F -4 2 3'
_cell_length_a 6.7545
_cell_length_b 6.7545
_cell_length_c 6.7545
_cell_angle_alpha 90.00
_cell_angle_beta 90.00
_cell_angle_gamma 90.00
loop_
_atom_site_label
_atom_site_type_symbol
_atom_site_fract_x
_atom_site_fract_y
_atom_site_fract_z
Cu1 Cu 0.1250 0.1250 0.1250
Si1 Si 0.0000 0.0000 0.5000
Mo1 Mo 0.2500 0.2500 0.7500
```

## Properties
DFT total energy = -5.109 eV per atom
Crystal system = cubic

***

15.
A plane-wave DFT calculation with PBE was carried out for crystalline CuSi2Mo at its relaxed geometry.

Cell and atoms, written as CIF:
```
data_CuSi2Mo
_chemical_formula_sum 'Cu2 Si4 Mo2'
_symmetry_space_group_name_H-M 'C 1 2/m 1'
_symmetry_Int_Tables_number 12
_cell_length_a 5.4902
_cell_length_b 8.0547
_cell_length_c 2.7039
_cell_angle_alpha 90.00
_cell_angle_beta 111.62
_cell_angle_gamma 90.00
loop_
_symmetry_equiv_pos_as_xyz
'x,y,z'
'-x,-y,-z'
'-x,y,-z'
'x,-y,z'
'x+1/2,y+1/2,z'
'-x+1/2,-y+1/2,-z'
'-x+1/2,y+1/2,-z'
'x+1/2,-y+1/2,z'
loop_
_atom_site_label
_atom_site_type_symbol
_atom_site_fract_x
_atom_site_fract_y
_atom_site_fract_z
Cu1 Cu 0.0000 0.0000 0.0000
Si1 Si 0.2500 0.2500 0.5000
Mo1 Mo 0.0000 0.5000 0.0000
```

## Properties
DFT total energy = -6.332 eV per atom
Crystal system = monoclinic